(1)
SmUBiO6 | GGA-PBE | relaxed

a b c (Å): 5.9348 5.9348 9.4480
angles (deg): 90.00 90.00 120.00
Fractional positions:
O (0.6360, 0.9690, 0.8654)
Bi (0.0000, 0.0000, 0.0000)
O (0.3330, 0.9690, 0.6346)
O (0.9690, 0.3330, 0.1346)
O (0.3330, 0.3640, 0.8654)
Sm (0.6667, 0.3333, 0.7500)
U (0.3333, 0.6667, 0.7500)
O (0.0310, 0.6670, 0.8654)
O (0.6670, 0.0310, 0.3654)
Bi (0.0000, 0.0000, 0.5000)
O (0.3640, 0.3330, 0.3654)
Sm (0.3333, 0.6667, 0.2500)
O (0.0310, 0.3640, 0.6346)
U (0.6667, 0.3333, 0.2500)
O (0.3640, 0.0310, 0.1346)
O (0.6670, 0.6360, 0.1346)
O (0.6360, 0.6670, 0.6346)
O (0.9690, 0.6360, 0.3654)

Values from the calculation:
**D(E_F)**: 0.00 states/eV per cell
**Formation energy from raw total energies**: -2655 meV per atom

=====

(2)
DyErSe2 | GGA-PBE | relaxed

a b c (Å): 3.8947 7.3015 6.7548
angles (deg): 90.00 90.00 90.00
Fractional positions:
Se (0.5000, 0.7487, 0.1666)
Se (0.5000, 0.2513, 0.8334)
Se (0.0000, 0.7513, 0.6666)
Se (0.0000, 0.2487, 0.3334)
Dy (0.0000, 0.0000, 0.0000)
Er (0.5000, 0.0000, 0.5000)
Er (0.0000, 0.5000, 0.0000)
Dy (0.5000, 0.5000, 0.5000)

Values from the calculation:
**D(E_F)**: 4.13 states/eV per cell
**Formation energy from raw total energies**: -1673 meV per atom
**Relative energy among the computed polymorphs**: 0.053 eV per atom

=====

(3)
LaSbRhI2 | GGA-PBE | relaxed

a b c (Å): 5.3003 5.3003 5.4099
angles (deg): 90.00 90.00 90.00
Fractional positions:
Rh (0.0000, 0.0000, 0.0000)
I (0.0000, 0.5000, 0.0000)
I (0.5000, 0.0000, 0.0000)
La (0.5000, 0.5000, 0.5000)
Sb (0.0000, 0.0000, 0.5000)

Values from the calculation:
**D(E_F)**: 3.58 states/eV per cell
**Formation energy from raw total energies**: -348 meV per atom

=====

The highest D(E_F) belongs to which entry? DyErSe2